No. 1
Here is a relaxed structure of VSnBi2O from the Alexandria database. Energies are from PBE+U.

The structure in CIF format:
```
data_VSnBi2O
_space_group_name_H-M_alt 'P 4/m m m'
_space_group_IT_number 123
_space_group_name_Hall '-P 4 2'
_cell_length_a 5.7523
_cell_length_b 5.7523
_cell_length_c 5.2938
_cell_angle_alpha 90.00
_cell_angle_beta 90.00
_cell_angle_gamma 90.00
loop_
_atom_site_label
_atom_site_fract_x
_atom_site_fract_y
_atom_site_fract_z
_atom_site_occupancy
V1 0.0000 0.0000 0.0000 1
Sn1 0.0000 0.0000 0.5000 1
Bi1 0.0000 0.5000 0.5000 1
O1 0.5000 0.5000 0.0000 1
```

***

No. 2
Here is a relaxed structure of V2SnBiO from the Alexandria database. Energies are from PBE+U.

The structure in CIF format:
```
data_V2SnBiO
_space_group_name_H-M_alt 'P 4/m m m'
_space_group_IT_number 123
_space_group_name_Hall '-P 4 2'
_cell_length_a 5.3799
_cell_length_b 5.3799
_cell_length_c 5.6489
_cell_angle_alpha 90.00
_cell_angle_beta 90.00
_cell_angle_gamma 90.00
loop_
_atom_site_label
_atom_site_fract_x
_atom_site_fract_y
_atom_site_fract_z
_atom_site_occupancy
V1 0.0000 0.5000 0.0000 1
Sn1 0.0000 0.0000 0.0000 1
Bi1 0.0000 0.0000 0.5000 1
O1 0.5000 0.5000 0.5000 1
```

***

no.,total magnetic moment (Bohr magnetons per cell),calculated total energy (eV per atom)
1,3.11,-3.458
2,5.98,-3.981